(1)
DFT (PBE-GGA) results for Pu2US5 after structural relaxation.

E_tot = -294.6 eV/cell
volume = 165.9 Å³/f.u.

Cell: 11.459 7.929 7.305 Å, 90.00 90.00 90.00°
Atoms (fractional coordinates):
Pu 0.178 0.003 0.024
Pu 0.178 0.497 0.024
Pu 0.322 0.503 0.524
Pu 0.322 0.997 0.524
Pu 0.678 0.003 0.476
Pu 0.678 0.497 0.476
Pu 0.822 0.503 0.976
Pu 0.822 0.997 0.976
U 0.010 0.250 0.578
U 0.490 0.750 0.078
U 0.510 0.250 0.922
U 0.990 0.750 0.422
S 0.000 0.250 0.959
S 0.000 0.750 0.041
S 0.093 0.547 0.667
S 0.093 0.953 0.667
S 0.188 0.250 0.333
S 0.217 0.750 0.301
S 0.283 0.250 0.801
S 0.312 0.750 0.833
S 0.407 0.047 0.167
S 0.407 0.453 0.167
S 0.500 0.250 0.541
S 0.500 0.750 0.459
S 0.593 0.547 0.833
S 0.593 0.953 0.833
S 0.688 0.250 0.167
S 0.717 0.750 0.199
S 0.783 0.250 0.699
S 0.812 0.750 0.667
S 0.907 0.047 0.333
S 0.907 0.453 0.333

(2)
DFT (PBE-GGA) results for SrThPb after structural relaxation.

E_tot = -50.0 eV/cell
volume = 115.0 Å³/f.u.

Cell: 7.720 7.720 7.720 Å, 90.00 90.00 90.00°
Atoms (fractional coordinates):
Sr 0.000 0.000 0.000
Sr 0.000 0.500 0.500
Sr 0.500 0.000 0.500
Sr 0.500 0.500 0.000
Th 0.000 0.000 0.500
Th 0.000 0.500 0.000
Th 0.500 0.000 0.000
Th 0.500 0.500 0.500
Pb 0.250 0.250 0.250
Pb 0.250 0.750 0.750
Pb 0.750 0.250 0.750
Pb 0.750 0.750 0.250

(3)
DFT (PBE-GGA) results for Y2Ga4CuPt after structural relaxation.

E_tot = -81.3 eV/cell
volume = 145.9 Å³/f.u.

Cell: 6.589 4.367 10.143 Å, 90.00 90.00 90.00°
Atoms (fractional coordinates):
Y 0.000 0.000 0.000
Y 0.000 0.500 0.500
Y 0.500 0.000 0.173
Y 0.500 0.500 0.673
Ga 0.193 0.000 0.714
Ga 0.193 0.500 0.214
Ga 0.299 0.000 0.458
Ga 0.299 0.500 0.958
Ga 0.701 0.000 0.458
Ga 0.701 0.500 0.958
Ga 0.807 0.000 0.714
Ga 0.807 0.500 0.214
Cu 0.000 0.000 0.290
Cu 0.000 0.500 0.790
Pt 0.500 0.000 0.884
Pt 0.500 0.500 0.384